VCu6O8: optimized geometry, GGA+U.

Cell lengths 7.4315, 7.4315, 10.1514 Å; angles 90.00, 90.00, 120.00 degrees
Closest atoms and distances in Å follow each position.
Space group R-3 (No. 148, hexagonal axes)
Unique sites:
V (0.0000, 0.0000, 0.0000) (multiplicity 3)  6 O 2.00
Cu (0.0106, 0.7574, 0.7352) (multiplicity 18)  4 O 1.89-2.05
O (0.0000, 0.0000, 0.3040) (multiplicity 6)  3 Cu 1.89
O (0.0612, 0.5217, 0.7607) (multiplicity 18)  3 Cu 1.97-2.05, 1 V 2.00

Summary:
Total DFT energy (no corrections)   -5.520 eV/atom
V   10.79 Å³/atom